Material: Ho2MnNiO6
Method: DFT, GGA+U
State: relaxed

a = 5.2485 Å, b = 5.5882 Å, c = 9.1612 Å
α = 90.00°, β = 124.47°, γ = 90.00°
Space group P2_1/c (No. 14)
Symmetry-distinct sites (fractional):
Ho: 0.2281 0.0725 0.2486 (multiplicity 4)
Mn: 0.5000 0.0000 0.0000 (multiplicity 2)
Ni: 0.0000 0.0000 0.5000 (multiplicity 2)
O: 0.1464 0.1871 0.9459 (multiplicity 4)
O: 0.2580 0.7061 0.9405 (multiplicity 4)
O: 0.3698 0.0391 0.7575 (multiplicity 4)

DFT total energy	-7.38	eV/atom
total magnetization	4.99	μB per formula unit